Entry 1:
The following is a PBE calculation of crystalline CaAlZnPt2 at its relaxed geometry, from Alexandria via LeMat-Bulk.

Lattice parameters (Å, degrees): 5.043 5.415 5.043 90.00 90.00 90.00
Atoms (fractional coordinates):
1 Zn 0.500 0.500 0.500
2 Ca 0.000 0.000 0.000
3 Pt 0.000 0.000 0.500
4 Pt 0.500 0.000 0.000
5 Al 0.000 0.500 0.000

## Properties
energy above the most stable polymorph in this dataset = 1964 meV/atom
formation energy = 1.101 eV/atom

Entry 2:
The following is a PBE calculation of crystalline Ca2Al3ZnPt4 at its relaxed geometry, from Alexandria via LeMat-Bulk.

Lattice parameters (Å, degrees): 4.315 4.315 10.230 90.00 90.00 90.00
Atoms (fractional coordinates):
1 Ca 0.500 0.000 0.247
2 Ca 0.000 0.500 0.753
3 Al 0.000 0.000 0.500
4 Al 0.500 0.000 0.875
5 Al 0.000 0.500 0.125
6 Zn 0.500 0.500 0.500
7 Pt 0.500 0.500 0.000
8 Pt 0.000 0.000 0.000
9 Pt 0.500 0.000 0.636
10 Pt 0.000 0.500 0.364

## Properties
formation energy = -0.965 eV/atom

Entry 3:
The following is a PBE calculation of crystalline CaAl2ZnPt4 at its relaxed geometry, from Alexandria via LeMat-Bulk.

Lattice parameters (Å, degrees): 4.305 4.305 9.035 76.22 76.22 60.00
Atoms (fractional coordinates):
1 Ca 0.000 0.000 0.000
2 Al 0.760 0.760 0.720
3 Al 0.240 0.240 0.280
4 Zn 0.500 0.500 0.500
5 Pt 0.404 0.404 0.788
6 Pt 0.868 0.868 0.397
7 Pt 0.132 0.132 0.603
8 Pt 0.596 0.596 0.212

## Properties
formation energy = -0.836 eV/atom

Entry 4:
The following is a PBE calculation of crystalline Ca2Al12ZnPt3 at its relaxed geometry, from Alexandria via LeMat-Bulk.

Lattice parameters (Å, degrees): 7.936 7.936 7.936 68.66 68.66 68.66
Atoms (fractional coordinates):
1 Ca 0.599 0.599 0.599
2 Ca 0.401 0.401 0.401
3 Al 0.258 0.258 0.858
4 Al 0.865 0.865 0.361
5 Al 0.361 0.865 0.865
6 Al 0.858 0.258 0.258
7 Al 0.865 0.361 0.865
8 Al 0.258 0.858 0.258
9 Al 0.742 0.742 0.142
10 Al 0.135 0.135 0.639
11 Al 0.639 0.135 0.135
12 Al 0.142 0.742 0.742
13 Al 0.135 0.639 0.135
14 Al 0.742 0.142 0.742
15 Zn 0.000 0.000 0.000
16 Pt 0.500 0.000 0.000
17 Pt 0.000 0.500 0.000
18 Pt 0.000 0.000 0.500

## Properties
formation energy = -0.179 eV/atom

Entry 5:
The following is a PBE calculation of crystalline Ca2Al2ZnPt5 at its relaxed geometry, from Alexandria via LeMat-Bulk.

Lattice parameters (Å, degrees): 3.572 9.907 9.907 90.00 90.00 90.00
Atoms (fractional coordinates):
1 Ca 0.000 0.675 0.175
2 Ca 0.000 0.325 0.825
3 Ca 0.000 0.175 0.325
4 Ca 0.000 0.825 0.675
5 Al 0.000 0.126 0.626
6 Al 0.000 0.874 0.374
7 Al 0.000 0.626 0.874
8 Al 0.000 0.374 0.126
9 Zn 0.000 0.000 0.000
10 Zn 0.000 0.500 0.500
11 Pt 0.500 0.203 0.064
12 Pt 0.500 0.797 0.936
13 Pt 0.500 0.064 0.797
14 Pt 0.500 0.703 0.436
15 Pt 0.500 0.936 0.203
16 Pt 0.500 0.297 0.564
17 Pt 0.500 0.564 0.703
18 Pt 0.500 0.436 0.297
19 Pt 0.500 0.500 0.000
20 Pt 0.500 0.000 0.500

## Properties
formation energy = -0.851 eV/atom

Entry 6:
The following is a PBE calculation of crystalline CaPuAl2 at its relaxed geometry, from Alexandria via LeMat-Bulk.

Lattice parameters (Å, degrees): 3.567 5.204 5.204 90.00 90.00 90.00
Site moments in Bohr magnetons follow the coordinates.
Atoms (fractional coordinates):
1 Ca 0.500 0.000 0.000  -0.01
2 Al 0.000 0.000 0.500  -0.02
3 Al 0.000 0.500 0.000  -0.02
4 Pu 0.500 0.500 0.500  5.32

## Properties
energy above the most stable polymorph in this dataset = 29 meV/atom
formation energy = -0.117 eV/atom